The following is a DFT calculation (PBE) of crystalline La7Nd2Th2 at its relaxed geometry.

Summary:
**Total energy**: -5.21 eV/atom
**Density**: 7278 kg/m3
**V**: 394 Å³/f.u.
**Crystal system**: monoclinic
**Energy of formation**: 0.146 eV/atom

Cell: 6.1973 8.8973 8.8973 Å, 81.15 63.68 63.68°
Sites, in units of the cell vectors:
La 0.3309 0.4379 0.4379
La 0.0000 0.0000 0.0000
La 0.8039 0.4081 0.9658
La 0.1961 0.5919 0.0342
La 0.1961 0.0342 0.5919
La 0.6691 0.5621 0.5621
La 0.8039 0.9658 0.4081
Nd 0.1713 0.2167 0.2167
Nd 0.8287 0.7833 0.7833
Th 0.5000 0.7815 0.2185
Th 0.5000 0.2185 0.7815

The following is a DFT calculation (PBE) of crystalline Li2CaTa at its relaxed geometry.

Summary:
**Total energy**: -3.85 eV/atom
**Relative energy among the computed polymorphs**: 117 meV/atom
**Density**: 4434 kg/m3
**V**: 88 Å³/f.u.
**Crystal system**: trigonal
**Energy of formation**: 0.566 eV/atom

Cell: 11.1742 11.1742 11.1742 Å, 15.61 15.61 15.61°
Sites, in units of the cell vectors:
Li 0.5078 0.5078 0.5078
Li 0.9922 0.9922 0.9922
Ca 0.7500 0.7500 0.7500
Ta 0.2500 0.2500 0.2500

The following is a DFT calculation (PBE) of crystalline K5Sr3 at its relaxed geometry.

Summary:
**Total energy**: -1.14 eV/atom
**Relative energy among the computed polymorphs**: 140 meV/atom
**Density**: 1392 kg/m3
**V**: 547 Å³/f.u.
**Crystal system**: hexagonal
**Energy of formation**: 0.178 eV/atom

Cell: 12.5639 12.5639 7.9975 Å, 90.00 90.00 120.00°
Sites, in units of the cell vectors:
Sr 0.4124 0.0000 0.7500
Sr 0.0000 0.4124 0.7500
Sr 0.0000 0.5876 0.2500
Sr 0.4124 0.4124 0.2500
Sr 0.5876 0.0000 0.2500
Sr 0.5876 0.5876 0.7500
K 0.3333 0.6667 0.0000
K 0.6667 0.3333 0.0000
K 0.0000 0.7681 0.7500
K 0.3333 0.6667 0.5000
K 0.2319 0.2319 0.7500
K 0.0000 0.2319 0.2500
K 0.7681 0.0000 0.7500
K 0.7681 0.7681 0.2500
K 0.6667 0.3333 0.5000
K 0.2319 0.0000 0.2500

Question: Look up the energy of formation of the first one.
Answer: 0.146 eV/atom